# 1
SrBe2Pb | PBE | optimized geometry

Values from the calculation:
Magnetic moment ... 0.00 μB/cell
ΔH_f (0 K) ... 0.375 eV/atom

Cell lengths 4.1040, 6.2040, 7.6994 Å; angles 90.00, 90.00, 90.00 degrees
With the nearest neighbours (Å) after each atom.
Fractional positions:
1 Sr 0.0000 0.0000 0.0000  5 Be 3.15-3.35, 4 Pb 3.31-3.34
2 Sr 0.5000 0.5000 0.5000  5 Be 3.15-3.35, 4 Pb 3.31-3.34
3 Be 0.0000 0.0000 0.4089  2 Be 2.13
4 Be 0.0000 0.5000 0.8360  2 Be 2.13
5 Be 0.5000 0.0000 0.3360  2 Be 2.13
6 Be 0.5000 0.5000 0.9089  2 Be 2.13
7 Pb 0.0000 0.5000 0.1619  1 Be 2.51
8 Pb 0.5000 0.0000 0.6619  1 Be 2.51



# 2
CsNp2TeO8 | PBE | optimized geometry

Values from the calculation:
Formation energy from raw total energies ... -2398 kJ/mol of formula units
Magnetic moment ... 3.00 μB/cell

Cell lengths 5.0317, 5.0379, 9.1039 Å; angles 88.10, 88.70, 87.42 degrees
With the nearest neighbours (Å) after each atom.
Fractional positions:
1 Cs 0.0000 0.0000 0.0000  4 O 2.92-3.27
2 Np 0.4910 0.4943 0.3119  3 O 1.87-2.05
3 Np 0.5090 0.5057 0.6881  3 O 1.87-2.05
4 Te 0.0000 0.0000 0.5000  6 O 2.15-2.25
5 O 0.2004 0.7845 0.6767  1 Np 2.05, 1 Te 2.15
6 O 0.2088 0.7990 0.3241  1 Np 2.05, 1 Te 2.15
7 O 0.3107 0.3076 0.4990  2 Np 2.12-2.29, 1 Te 2.25
8 O 0.3766 0.3655 0.8663  1 Np 1.87
9 O 0.6234 0.6345 0.1337  1 Np 1.87
10 O 0.6893 0.6924 0.5010  2 Np 2.12-2.29, 1 Te 2.25
11 O 0.7912 0.2010 0.6759  1 Np 2.05, 1 Te 2.15
12 O 0.7996 0.2155 0.3233  1 Np 2.05, 1 Te 2.15



# 3
YEr6Tm8 | PBE | optimized geometry

Values from the calculation:
Magnetic moment ... 0.00 μB/cell
Polymorph energy (0 for the lowest one) ... 2.47 kcal/mol of atoms
ΔH_f (0 K) ... 0.243 eV/atom

Cell lengths 9.3010, 9.3010, 6.3954 Å; angles 90.00, 90.00, 120.00 degrees
With the nearest neighbours (Å) after each atom.
Fractional positions:
1 Y 0.0000 0.0000 0.0000  6 Er 3.56
2 Er 0.0999 0.6817 0.9111  1 Er 3.15, 3 Tm 3.18-3.40
3 Er 0.3183 0.4182 0.9111  1 Er 3.15, 3 Tm 3.18-3.40
4 Er 0.4182 0.0999 0.0889  1 Er 3.15, 3 Tm 3.18-3.40
5 Er 0.5818 0.9001 0.9111  1 Er 3.15, 3 Tm 3.18-3.40
6 Er 0.6817 0.5818 0.0889  1 Er 3.15, 3 Tm 3.18-3.40
7 Er 0.9001 0.3183 0.0889  1 Er 3.15, 3 Tm 3.18-3.40
8 Tm 0.0240 0.3373 0.5939  4 Er 3.18-3.55, 5 Tm 3.26-3.49
9 Tm 0.3133 0.9760 0.5939  4 Er 3.18-3.55, 5 Tm 3.26-3.49
10 Tm 0.3333 0.6667 0.3385  6 Tm 3.33-3.39, 3 Er 3.54
11 Tm 0.3373 0.3133 0.4061  4 Er 3.18-3.55, 5 Tm 3.26-3.49
12 Tm 0.6627 0.6867 0.5939  4 Er 3.18-3.55, 5 Tm 3.26-3.49
13 Tm 0.6667 0.3333 0.6615  6 Tm 3.33-3.39, 3 Er 3.54
14 Tm 0.6867 0.0240 0.4061  4 Er 3.18-3.55, 5 Tm 3.26-3.49
15 Tm 0.9760 0.6627 0.4061  4 Er 3.18-3.55, 5 Tm 3.26-3.49